No. 1
VASP calculation (PBE) on crystalline MnP2 at its relaxed geometry.

Structure (POSCAR):
```
MnP2
1.0
0.000 2.732 2.732
2.732 0.000 2.732
2.732 2.732 0.000
Mn P
1 2
Cartesian
0.000 0.000 0.000 Mn
1.366 1.366 1.366 P
4.098 4.098 4.098 P
```

Summary:
As for the formation energy: -18 kJ/mol of formula units. The space group is Fm-3m. The value obtained for the volume is 13.6 Å³/atom.

***

No. 2
VASP calculation (PBE) on crystalline MnP at its relaxed geometry.

Structure (POSCAR):
```
MnP
1.0
1.479 -3.959 0.000
1.479 3.959 0.000
0.000 0.000 3.953
Mn P
2 2
Cartesian
1.479 3.058 2.965 Mn
1.479 -3.058 0.988 Mn
1.479 0.790 2.965 P
1.479 -0.790 0.988 P
```

Summary:
As for the formation energy: -44 kJ/mol of formula units. The space group is Cmcm. The value obtained for the volume is 11.6 Å³/atom.

***

No. 3
VASP calculation (PBE) on crystalline PaMn5P3 at its relaxed geometry.

Structure (POSCAR):
```
PaMn5P3
1.0
1.895 -5.949 0.000
1.895 5.949 0.000
0.000 0.000 10.610
Pa Mn P
2 10 6
Cartesian
1.895 3.738 7.958 Pa
1.895 -3.738 2.653 Pa
0.000 0.000 0.000 Mn
0.000 0.000 5.305 Mn
1.895 3.695 0.671 Mn
1.895 3.695 4.634 Mn
1.895 0.471 6.847 Mn
1.895 0.471 9.068 Mn
1.895 -0.471 1.542 Mn
1.895 -0.471 3.763 Mn
1.895 -3.695 5.976 Mn
1.895 -3.695 9.939 Mn
1.895 4.684 2.653 P
1.895 1.549 0.480 P
1.895 1.549 4.826 P
1.895 -1.549 5.785 P
1.895 -1.549 10.131 P
1.895 -4.684 7.958 P
```

Summary:
As for the formation energy: -546 kJ/mol of formula units. The space group is Cmcm. The value obtained for the volume is 13.3 Å³/atom.

***

No. 4
VASP calculation (PBE) on crystalline Pa2Mn9P6 at its relaxed geometry.

Structure (POSCAR):
```
Pa2Mn9P6
1.0
5.212 0.000 0.000
-2.606 4.513 0.000
0.000 0.000 10.533
Pa Mn P
2 9 6
Cartesian
0.000 0.000 1.864 Pa
0.000 0.000 8.670 Pa
-1.303 2.257 0.000 Mn
-1.303 2.257 3.538 Mn
-1.303 2.257 6.995 Mn
2.606 0.000 0.000 Mn
2.606 0.000 3.538 Mn
2.606 0.000 6.995 Mn
1.303 2.257 0.000 Mn
1.303 2.257 3.538 Mn
1.303 2.257 6.995 Mn
0.000 3.009 1.761 P
0.000 3.009 5.267 P
0.000 3.009 8.772 P
2.606 1.504 1.761 P
2.606 1.504 5.267 P
2.606 1.504 8.772 P
```

Summary:
As for the formation energy: -751 kJ/mol of formula units. The space group is P6/mmm. The value obtained for the volume is 14.6 Å³/atom.

***

No. 5
VASP calculation (PBE) on crystalline PaMnP2 at its relaxed geometry.

Structure (POSCAR):
```
PaMnP2
1.0
1.543 0.891 9.288
-1.543 0.891 9.288
0.000 -1.782 9.288
Pa Mn P
1 1 2
Cartesian
0.000 0.000 0.000 Pa
0.000 0.000 13.932 Mn
0.000 0.000 11.595 P
0.000 0.000 16.268 P
```

Summary:
As for the formation energy: 58 kJ/mol of formula units. The space group is R-3m. The value obtained for the volume is 19.2 Å³/atom.

***

No. 6
VASP calculation (PBE) on crystalline PaMnP2 at its relaxed geometry.

Structure (POSCAR):
```
PaMnP2
1.0
-1.943 1.943 4.499
1.943 -1.943 4.499
1.943 1.943 -4.499
Pa Mn P
1 1 2
Cartesian
0.000 0.000 0.000 Pa
1.943 0.000 2.249 Mn
0.000 0.000 3.268 P
0.000 0.000 5.730 P
```

Summary:
As for the formation energy: -302 kJ/mol of formula units. The space group is I-4m2. The value obtained for the volume is 17.0 Å³/atom.

***

No. 7
VASP calculation (PBE) on crystalline PaMnP at its relaxed geometry.

Structure (POSCAR):
```
PaMnP
1.0
-1.843 1.843 4.159
1.843 -1.843 4.159
1.843 1.843 -4.159
Pa Mn P
1 1 1
Cartesian
0.000 0.000 0.000 Pa
0.000 0.000 3.445 Mn
0.000 0.000 5.639 P
```

Summary:
As for the formation energy: -45 kJ/mol of formula units. The space group is I4mm. The value obtained for the volume is 18.8 Å³/atom.

***

No. 8
VASP calculation (PBE) on crystalline Pa2Mn12P7 at its relaxed geometry.

Structure (POSCAR):
```
Pa2Mn12P7
1.0
9.189 0.000 0.000
-4.594 7.958 0.000
0.000 0.000 3.662
Pa Mn P
2 12 7
Cartesian
0.000 0.000 0.000 Pa
0.000 5.305 1.831 Pa
-0.787 2.257 1.831 Mn
-2.367 5.626 0.000 Mn
-2.246 7.511 1.831 Mn
0.906 3.094 0.000 Mn
2.754 1.433 0.000 Mn
3.010 3.514 1.831 Mn
4.640 0.850 1.831 Mn
1.461 7.195 0.000 Mn
3.034 6.147 1.831 Mn
4.458 4.855 0.000 Mn
6.570 1.669 0.000 Mn
6.133 3.593 1.831 Mn
-1.377 3.545 0.000 P
1.442 1.706 1.831 P
-0.836 7.377 0.000 P
2.212 4.993 0.000 P
4.594 2.653 0.000 P
6.990 0.396 1.831 P
5.351 5.855 1.831 P
```

Summary:
As for the formation energy: -1421 kJ/mol of formula units. The space group is P-6. The value obtained for the volume is 12.8 Å³/atom.

***

No. 9
VASP calculation (PBE) on crystalline PaMn5P2 at its relaxed geometry.

Structure (POSCAR):
```
PaMn5P2
1.0
-1.758 3.401 4.547
1.758 -3.401 4.547
1.758 3.401 -4.547
Pa Mn P
1 5 2
Cartesian
0.000 0.000 0.000 Pa
1.758 2.113 -1.352 Mn
1.758 2.113 1.352 Mn
0.000 3.401 0.000 Mn
0.000 1.288 3.194 Mn
0.000 1.288 5.899 Mn
1.758 0.000 2.273 P
0.000 3.401 2.274 P
```

Summary:
As for the formation energy: -386 kJ/mol of formula units. The space group is Immm. The value obtained for the volume is 13.6 Å³/atom.

***

No. 10
VASP calculation (PBE) on crystalline PaMn4P2 at its relaxed geometry.

Structure (POSCAR):
```
PaMn4P2
1.0
7.083 0.000 0.000
0.000 7.083 0.000
0.000 0.000 3.661
Pa Mn P
2 8 4
Cartesian
0.000 0.000 0.000 Pa
3.541 3.541 1.831 Pa
0.585 2.456 1.831 Mn
1.085 4.126 0.000 Mn
2.456 0.585 1.831 Mn
2.957 5.997 0.000 Mn
4.126 1.085 0.000 Mn
4.627 6.498 1.831 Mn
5.997 2.957 0.000 Mn
6.498 4.627 1.831 Mn
1.548 5.535 1.831 P
1.994 1.994 0.000 P
5.089 5.089 0.000 P
5.535 1.548 1.831 P
```

Summary:
As for the formation energy: -447 kJ/mol of formula units. The space group is P4_2/mnm. The value obtained for the volume is 13.1 Å³/atom.

***

No. 11
VASP calculation (PBE) on crystalline PaMnP2Rh2 at its relaxed geometry.

Structure (POSCAR):
```
PaMnP2Rh2
1.0
-1.905 1.905 7.016
1.905 -1.905 7.016
1.905 1.905 -7.016
Pa Mn P Rh
1 1 2 2
Cartesian
0.000 0.000 0.000 Pa
0.000 0.000 7.016 Mn
0.000 0.000 4.855 P
0.000 0.000 9.178 P
1.905 0.000 3.508 Rh
0.000 1.905 3.508 Rh
```

Summary:
As for the formation energy: -354 kJ/mol of formula units. The space group is I4/mmm. The value obtained for the volume is 17.0 Å³/atom.

***

No. 12
VASP calculation (PBE) on crystalline Pa2MnP4Ru3 at its relaxed geometry.

Structure (POSCAR):
```
Pa2MnP4Ru3
1.0
4.125 0.000 0.000
0.000 4.125 0.000
0.000 0.000 9.217
Pa Mn P Ru
2 1 4 3
Cartesian
0.000 2.063 2.276 Pa
2.063 0.000 6.940 Pa
2.063 2.063 0.000 Mn
0.000 0.000 4.608 P
0.000 2.063 8.050 P
2.063 0.000 1.167 P
2.063 2.063 4.608 P
0.000 0.000 0.000 Ru
0.000 2.063 5.706 Ru
2.063 0.000 3.511 Ru
```

Summary:
As for the formation energy: -861 kJ/mol of formula units. The space group is P-4m2. The value obtained for the volume is 15.7 Å³/atom.

***

Please write out number 11 again, unchanged.
VASP calculation (PBE) on crystalline PaMnP2Rh2 at its relaxed geometry.

Structure (POSCAR):
```
PaMnP2Rh2
1.0
-1.905 1.905 7.016
1.905 -1.905 7.016
1.905 1.905 -7.016
Pa Mn P Rh
1 1 2 2
Cartesian
0.000 0.000 0.000 Pa
0.000 0.000 7.016 Mn
0.000 0.000 4.855 P
0.000 0.000 9.178 P
1.905 0.000 3.508 Rh
0.000 1.905 3.508 Rh
```

Summary:
As for the formation energy: -354 kJ/mol of formula units. The space group is I4/mmm. The value obtained for the volume is 17.0 Å³/atom.